Density functional theory data (PBE) for a relaxed structure of CuTc.

Results
Energy above the lowest structure with this stoichiometry, meV/atom: 152.2
Space group: No. 123
Formation enthalpy at 0 K, kcal/mol of atoms: 5.66

Lattice parameters (Å, degrees): 2.5391 2.5391 4.1500 90.00 90.00 90.00
Closest atoms and distances in Å follow each position.
Element x y z (fractional)
Cu 0.0000 0.0000 0.5000  4 Cu 2.54, 8 Tc 2.74
Tc 0.5000 0.5000 0.0000  4 Tc 2.54, 8 Cu 2.74